The following is a DFT calculation (GGA-PBEsol) of InGa3 after structural relaxation.

Uncorrected energy in eV per atom: -3.21
Energy of formation from the pure elements in eV/atom: 0.043

Geometry as CIF:
```
data_InGa3
_chemical_formula_sum 'In2 Ga6'
_cell_length_a 6.1928
_cell_length_b 6.1928
_cell_length_c 4.7656
_cell_angle_alpha 90.00
_cell_angle_beta 90.00
_cell_angle_gamma 120.00
_symmetry_space_group_name_H-M 'P 63/m m c'
_symmetry_Int_Tables_number 194
_symmetry_space_group_name_Hall '-P 6c 2c'
loop_
_atom_site_label
_atom_site_type_symbol
_atom_site_fract_x
_atom_site_fract_y
_atom_site_fract_z
In1 In 0.3333 0.6667 0.2500
Ga1 Ga 0.1580 0.3160 0.7500
```